The following is a meta-GGA SCAN calculation of Ca8Mn3N9 at its PBEsol-relaxed geometry, from Alexandria via LeMat-Bulk.

a = 7.1057 Å, b = 9.9513 Å, c = 17.7660 Å
α = 90.00°, β = 106.22°, γ = 90.00°
With the nearest neighbours (Å) after each atom.
Sites, in units of the cell vectors:
1 Ca 0.0148 0.1197 0.1455  4 N 2.35-2.57
2 Ca 0.0148 0.3803 0.6455  4 N 2.35-2.57
3 Ca 0.0754 0.6202 0.1455  5 N 2.44-2.65
4 Ca 0.0754 0.8798 0.6455  5 N 2.44-2.65
5 Ca 0.1925 0.1291 0.5511  5 N 2.45-2.55
6 Ca 0.1925 0.3709 0.0511  5 N 2.45-2.55
7 Ca 0.2216 0.6194 0.5696  7 N 2.46-2.75
8 Ca 0.2216 0.8806 0.0696  7 N 2.46-2.75
9 Ca 0.2510 0.6353 0.7699  6 N 2.43-2.65
10 Ca 0.2510 0.8647 0.2699  6 N 2.43-2.65
11 Ca 0.2752 0.1259 0.7824  5 N 2.41-2.65
12 Ca 0.2752 0.3741 0.2824  5 N 2.41-2.65
13 Ca 0.4774 0.6258 0.4185  5 N 2.46-2.55
14 Ca 0.4774 0.8742 0.9185  5 N 2.46-2.55
15 Ca 0.4818 0.1274 0.4239  5 N 2.38-2.64
16 Ca 0.4818 0.3726 0.9239  5 N 2.38-2.64
17 Ca 0.5182 0.6274 0.0761  5 N 2.38-2.64
18 Ca 0.5182 0.8726 0.5761  5 N 2.38-2.64
19 Ca 0.5226 0.1258 0.0815  5 N 2.46-2.55
20 Ca 0.5226 0.3742 0.5815  5 N 2.46-2.55
21 Ca 0.7248 0.6259 0.7176  5 N 2.41-2.65
22 Ca 0.7248 0.8741 0.2176  5 N 2.41-2.65
23 Ca 0.7490 0.1353 0.7301  6 N 2.43-2.65
24 Ca 0.7490 0.3647 0.2301  6 N 2.43-2.65
25 Ca 0.7784 0.1194 0.9304  7 N 2.46-2.75
26 Ca 0.7784 0.3806 0.4304  7 N 2.46-2.75
27 Ca 0.8075 0.6291 0.9489  5 N 2.45-2.55
28 Ca 0.8075 0.8709 0.4489  5 N 2.45-2.55
29 Ca 0.9246 0.1202 0.3545  5 N 2.44-2.65
30 Ca 0.9246 0.3798 0.8545  5 N 2.44-2.65
31 Ca 0.9852 0.6197 0.3545  4 N 2.35-2.57
32 Ca 0.9852 0.8803 0.8545  4 N 2.35-2.57
33 Mn 0.2011 0.1326 0.9383  3 N 1.69-1.73
34 Mn 0.2011 0.3674 0.4383  3 N 1.69-1.73
35 Mn 0.2028 0.6182 0.9303  3 N 1.72-1.76
36 Mn 0.2028 0.8818 0.4303  3 N 1.72-1.76
37 Mn 0.4597 0.6237 0.2544  3 N 1.67-1.75
38 Mn 0.4597 0.8763 0.7544  3 N 1.67-1.75
39 Mn 0.5403 0.1237 0.2456  3 N 1.67-1.75
40 Mn 0.5403 0.3763 0.7456  3 N 1.67-1.75
41 Mn 0.7972 0.1182 0.5697  3 N 1.72-1.76
42 Mn 0.7972 0.3818 0.0697  3 N 1.72-1.76
43 Mn 0.7989 0.6326 0.5617  3 N 1.69-1.73
44 Mn 0.7989 0.8674 0.0617  3 N 1.69-1.73
45 N 0.0051 0.1264 0.6511  1 Mn 1.76
46 N 0.0051 0.3736 0.1511  1 Mn 1.76
47 N 0.0199 0.1448 0.8502  1 Mn 1.73
48 N 0.0199 0.3552 0.3502  1 Mn 1.73
49 N 0.1506 0.1288 0.0259  1 Mn 1.69
50 N 0.1506 0.3712 0.5259  1 Mn 1.69
51 N 0.1701 0.6170 0.0224  1 Mn 1.72
52 N 0.1701 0.8830 0.5224  1 Mn 1.72
53 N 0.2478 0.6154 0.2863  1 Mn 1.75
54 N 0.2478 0.8846 0.7863  1 Mn 1.75
55 N 0.3400 0.0433 0.1932  1 Mn 1.67
56 N 0.3400 0.4567 0.6932  1 Mn 1.67
57 N 0.4257 0.7339 0.1804  1 Mn 1.68
58 N 0.4257 0.7661 0.6804  1 Mn 1.68
59 N 0.4366 0.1196 0.9359  1 Mn 1.69
60 N 0.4366 0.3804 0.4359  1 Mn 1.69
61 N 0.4380 0.6217 0.9216  1 Mn 1.72
62 N 0.4380 0.8783 0.4216  1 Mn 1.72
63 N 0.5620 0.1217 0.5784  1 Mn 1.72
64 N 0.5620 0.3783 0.0784  1 Mn 1.72
65 N 0.5634 0.6196 0.5641  1 Mn 1.69
66 N 0.5634 0.8804 0.0641  1 Mn 1.69
67 N 0.5743 0.2339 0.3196  1 Mn 1.68
68 N 0.5743 0.2661 0.8196  1 Mn 1.68
69 N 0.6600 0.5433 0.3068  1 Mn 1.67
70 N 0.6600 0.9567 0.8068  1 Mn 1.67
71 N 0.7522 0.1154 0.2137  1 Mn 1.75
72 N 0.7522 0.3846 0.7137  1 Mn 1.75
73 N 0.8299 0.1170 0.4776  1 Mn 1.72
74 N 0.8299 0.3830 0.9776  1 Mn 1.72
75 N 0.8494 0.6288 0.4741  1 Mn 1.69
76 N 0.8494 0.8712 0.9741  1 Mn 1.69
77 N 0.9801 0.6448 0.6498  1 Mn 1.73
78 N 0.9801 0.8552 0.1498  1 Mn 1.73
79 N 0.9949 0.6264 0.8489  1 Mn 1.76
80 N 0.9949 0.8736 0.3489  1 Mn 1.76

space group	P2_1/c, No. 14
raw formation energy	-1.050	eV/atom
VASP energy	-11.834	eV/atom